The following is a PBE with a Hubbard U calculation of Li4ZrCoO6 after structural relaxation, from the Open Quantum Materials Database.

Cell: 5.161 8.950 5.118 Å, 90.00 109.25 90.00°
Space group C2 (No. 5)
Symmetry-distinct sites (fractional):
Li: 0.000 0.000 0.000 [2 per cell]
Li: 0.000 0.149 0.500 [2 per cell]
Li: 0.000 0.314 0.000 [2 per cell]
Li: 0.000 0.630 0.000 [2 per cell]
Zr: 0.000 0.812 0.500 [2 per cell]
Co: 0.000 0.477 0.500 [2 per cell]
O: 0.235 0.481 0.270 [4 per cell]
O: 0.235 0.644 0.742 [4 per cell]
O: 0.239 0.329 0.740 [4 per cell]

M_tot: 0.083 μB/atom
Theoretical density: 4.076 g/cm³
Energy above the lowest structure with this stoichiometry: 0.00 eV/f.u.